Entry 1:
## RbU3O7 (GGA-PBE)

Data for an optimized crystal structure of RbU3O7.

```
11
Lattice="-1.254 3.166 -2.444 2.825 -3.532 -6.026 -7.044 -0.830 2.539" Properties=species:S:1:pos:R:3 pbc="T T T"
O -0.627 1.583 -1.222
O -0.673 -1.163 -4.756
O -2.225 -0.517 0.472
O -4.722 -3.099 -1.591
O 0.503 -1.263 -1.895
O -4.800 -0.033 -1.174
O -1.995 -3.845 -3.958
U -4.438 -1.544 0.277
U 0.000 0.000 0.000
U 0.218 -2.818 -3.764
Rb -2.110 -2.181 -1.743
```

## Properties
Electronic total energy ... -9.11 eV per atom
Volume ... 17.8 Å³/atom
Space-group type ... Cmmm

***

Entry 2:
## Ta4V3Ga5 (GGA-PBE)

Data for an optimized crystal structure of Ta4V3Ga5.

```
12
Lattice="4.826 0.000 0.000 2.413 4.826 -0.707 2.413 1.768 8.736" Properties=species:S:1:pos:R:3 pbc="T T T"
Ga 7.238 5.352 7.747
Ga 4.826 3.297 4.014
Ga 2.413 1.242 0.282
Ga 4.826 2.154 1.307
Ga 4.826 4.440 6.722
V 4.826 4.722 1.852
V 2.413 3.297 4.014
V 4.826 1.872 6.177
Ta 2.413 4.163 0.593
Ta 2.413 1.031 5.071
Ta 7.238 2.431 7.436
Ta 7.238 5.563 2.958
```

## Properties
Energy of formation from the pure elements ... 4.10 eV per formula unit
Electronic total energy ... -7.15 eV per atom
Volume ... 17.5 Å³/atom
Space-group type ... C2/m

***

Entry 3:
## Nb2CuPd9 (GGA-PBE)

Data for an optimized crystal structure of Nb2CuPd9.

```
12
Lattice="-2.514 2.848 1.122 -0.918 -2.087 3.240 8.710 5.357 5.918" Properties=species:S:1:pos:R:3 pbc="T T T"
Pd 6.791 3.415 6.546
Pd 3.896 1.635 4.579
Pd 5.993 5.883 5.487
Pd -1.716 0.381 2.181
Pd 1.001 -0.146 2.612
Pd 1.203 2.176 4.164
Pd 0.203 2.322 1.553
Pd 4.075 3.942 6.116
Pd 3.098 4.102 3.520
Nb 2.808 1.727 1.908
Nb 5.902 3.630 4.010
Cu 0.000 0.000 0.000
```

## Properties
Energy of formation from the pure elements ... -4.04 eV per formula unit
Electronic total energy ... -6.25 eV per atom
Volume ... 15.5 Å³/atom
Space-group type ... P4/mmm

***

Entry 4:
## CrCd2FeTc (GGA-PBE)

Data for an optimized crystal structure of CrCd2FeTc.

```
5
Lattice="4.889 0.000 0.000 0.000 4.049 0.000 0.000 0.000 4.889" Properties=species:S:1:pos:R:3 pbc="T T T"
Tc 2.444 2.024 2.444
Cd 0.000 0.000 2.444
Cd 2.444 0.000 0.000
Cr 0.000 2.024 0.000
Fe 0.000 0.000 0.000
```

## Properties
Energy of formation from the pure elements ... 6.37 eV per formula unit
Electronic total energy ... -4.78 eV per atom
Volume ... 19.4 Å³/atom
Space-group type ... P4/mmm

***

Entry 5:
## Tb8Ir2Ru (GGA-PBE)

Data for an optimized crystal structure of Tb8Ir2Ru.

```
11
Lattice="-3.873 2.253 3.884 -3.937 0.662 -6.419 0.469 -7.122 2.490" Properties=species:S:1:pos:R:3 pbc="T T T"
Tb -4.305 -3.236 4.448
Tb -3.551 0.959 0.308
Tb -5.367 -2.351 0.600
Tb -2.425 -1.030 2.585
Tb -4.821 -3.279 -2.775
Tb -6.840 1.243 -0.679
Tb -3.691 -5.276 -0.490
Tb -1.946 -1.932 -0.726
Ir -4.503 -0.680 -1.759
Ir -2.833 -3.632 1.619
Ru -0.409 0.215 0.390
```

## Properties
Energy of formation from the pure elements ... -4.24 eV per formula unit
Relative energy among the computed polymorphs ... 58 meV/atom
Electronic total energy ... -6.21 eV per atom
Volume ... 26.7 Å³/atom
Space-group type ... Cm

***

Entry 6:
## Na2Ca3PuS6 (GGA-PBE)

Data for an optimized crystal structure of Na2Ca3PuS6.

```
12
Lattice="6.996 0.007 -0.001 -3.490 6.063 -0.001 -1.170 -2.026 6.523" Properties=species:S:1:pos:R:3 pbc="T T T"
Ca -2.288 4.018 3.260
Ca 1.168 2.022 3.260
Ca 4.624 0.026 3.260
S 2.417 4.185 1.592
S -1.098 1.905 1.634
S 0.137 4.043 4.887
S 3.434 2.139 4.887
S 2.199 0.001 1.634
S -0.081 -0.141 4.929
Na 0.010 4.041 -0.001
Na 3.495 2.029 -0.001
Pu 0.000 0.000 0.000
```

## Properties
Electronic total energy ... -5.71 eV per atom
Volume ... 23.1 Å³/atom
Space-group type ... C2/m

***

Entry 7:
## LaZrAs2 (GGA-PBE)

Data for an optimized crystal structure of LaZrAs2.

```
4
Lattice="-2.124 -1.657 2.530 -2.301 -0.801 -2.457 2.037 -6.606 -2.617" Properties=species:S:1:pos:R:3 pbc="T T T"
As -0.030 -3.888 -2.572
As 1.934 -6.421 -2.582
Zr -1.260 -6.384 -2.541
La -1.128 -2.680 -0.004
```

## Properties
Energy of formation from the pure elements ... -3.94 eV per formula unit
Relative energy among the computed polymorphs ... 354 meV/atom
Electronic total energy ... -6.68 eV per atom
Volume ... 22.7 Å³/atom
Space-group type ... P2/m

***

Entry 8:
## Tm4Tl3In (GGA-PBE)

Data for an optimized crystal structure of Tm4Tl3In.

```
8
Lattice="-2.748 1.922 -1.230 -1.892 -2.995 -0.454 -5.894 1.398 15.348" Properties=species:S:1:pos:R:3 pbc="T T T"
Tl -5.267 0.162 6.832
Tl -6.743 0.513 10.676
Tl -3.790 -0.188 2.987
In -2.320 -0.536 -0.842
Tm -5.167 1.226 13.455
Tm -2.208 0.524 5.749
Tm -0.727 0.172 1.893
Tm -3.686 0.874 9.598
```

## Properties
Energy of formation from the pure elements ... -2.63 eV per formula unit
Relative energy among the computed polymorphs ... 0 meV/atom
Electronic total energy ... -3.79 eV per atom
Volume ... 26.3 Å³/atom
Space-group type ... P4/mmm